The following is a PBE-GGA calculation of a geometry-optimized Ce2YLu structure, from the Alexandria database.

Properties
The calculation puts the calculated volume at 120.7 Å³/f.u. As for the formation enthalpy at 0 K: 0.111 eV/atom. The symmetry is No. 123.

```
4
Lattice="3.465 0.000 0.000 0.000 3.465 0.000 0.000 0.000 10.050" Properties=species:S:1:pos:R:3 pbc="T T T"
Y 1.733 1.733 5.025
Ce 0.000 0.000 2.468
Ce 0.000 0.000 7.582
Lu 1.733 1.733 0.000
```